Record 1
The following is a DFT calculation (PBE) of a geometry-optimized SnBOsS2 structure.

Values from the calculation:
As for the space group: P4/mmm. For the formation energy without anion corrections, the calculation gives 1157.8 meV/atom. For the total energy, the calculation gives -4.88 eV per atom. For the volume, the calculation gives 22.96 Å³ per atom. The calculation puts the spin magnetization at 0.00 μB per cell.

a = 4.397 Å, b = 5.935 Å, c = 4.397 Å
α = 90.00°, β = 90.00°, γ = 90.00°
Positions (direct):
Sn  0.000  0.500  0.000
S  0.000  0.000  0.500
B  0.500  0.500  0.500
Os  0.000  0.000  0.000
S  0.500  0.000  0.000

---

Record 2
The following is a DFT calculation (PBE) of a geometry-optimized TlBOsS2 structure.

Values from the calculation:
As for the space group: P4/mmm. For the formation energy without anion corrections, the calculation gives 2284.8 meV/atom. For the total energy, the calculation gives -3.42 eV per atom. For the volume, the calculation gives 23.06 Å³ per atom. The calculation puts the spin magnetization at 3.64 μB per cell. The calculation puts the energy above the most stable polymorph in this dataset at 1236.7 meV per atom.

a = 5.245 Å, b = 4.191 Å, c = 5.245 Å
α = 90.00°, β = 90.00°, γ = 90.00°
Last column: magnetic moment on the atom in μB.
Positions (direct):
Tl  0.000  0.000  0.000  0.01
S  0.500  0.000  0.000  0.11
B  0.000  0.500  0.000  -0.06
Os  0.500  0.500  0.500  3.07
S  0.000  0.000  0.500  0.08

---

Q: Which formula does entry 1 have?
A: SnBOsS2

---

Q: The lowest formation energy without anion corrections belongs to which entry?
A: SnBOsS2

---

Q: spin magnetization of number 1 (SnBOsS2)?
A: 0.00 μB per cell

---

Q: Which of these has the highest volume?
A: TlBOsS2